VASP calculation (PBE-GGA) on a relaxed structure of LaEuHoTl.

Summary:
- Electronic total energy: -22.42 eV/cell
- Volume: 31.49 Å³ per atom

Cell and atoms, written as POSCAR:
```
LaEuHoTl
1.0
0.000 3.979 3.979
3.979 0.000 3.979
3.979 3.979 0.000
La Eu Ho Tl
1 1 1 1
direct
0.000 0.000 0.000 La
0.750 0.750 0.750 Eu
0.500 0.500 0.500 Ho
0.250 0.250 0.250 Tl
```